Lu4BiSN2 after structural relaxation, computed with PBE-GGA.

## Properties
E ... -6.85 eV/atom
Size of the total moment ... 0.01 μB/cell
Crystal system ... hexagonal

Lattice parameters (Å, degrees): 3.498 3.498 13.572 90.00 90.00 120.00
Fractional coordinates of all 8 atoms:
Bi: 0.000 0.000 0.000
Lu: 0.667 0.333 0.182
Lu: 0.000 0.000 0.366
Lu: 0.000 0.000 0.634
Lu: 0.667 0.333 0.818
N: 0.333 0.667 0.272
N: 0.333 0.667 0.728
S: 0.667 0.333 0.500

---

Lu4Sc2Bi3N3 after structural relaxation, computed with PBE-GGA.

## Properties
E ... -6.77 eV/atom
Size of the total moment ... 0.02 μB/cell
Crystal system ... monoclinic

Lattice parameters (Å, degrees): 6.007 6.007 15.134 101.46 101.46 59.96
Fractional coordinates of all 24 atoms:
Bi: 0.262 0.415 0.250
Bi: 0.909 0.091 0.250
Bi: 0.585 0.738 0.250
Bi: 0.415 0.262 0.750
Bi: 0.091 0.909 0.750
Bi: 0.738 0.585 0.750
Lu: 0.859 0.694 0.083
Lu: 0.196 0.026 0.083
Lu: 0.974 0.804 0.417
Lu: 0.306 0.141 0.417
Lu: 0.694 0.859 0.583
Lu: 0.026 0.196 0.583
Lu: 0.804 0.974 0.917
Lu: 0.141 0.306 0.917
N: 0.500 0.000 0.000
N: 0.833 0.334 0.000
N: 0.167 0.666 0.000
N: 0.334 0.833 0.500
N: 0.000 0.500 0.500
N: 0.666 0.167 0.500
Sc: 0.527 0.362 0.079
Sc: 0.638 0.473 0.421
Sc: 0.362 0.527 0.579
Sc: 0.473 0.638 0.921

---

Lu2Sc4Bi3N3 after structural relaxation, computed with PBE-GGA.

## Properties
E ... -7.10 eV/atom
Size of the total moment ... 0.00 μB/cell
Crystal system ... monoclinic

Lattice parameters (Å, degrees): 5.931 5.933 14.963 78.60 78.57 60.01
Fractional coordinates of all 24 atoms:
Bi: 0.238 0.096 0.250
Bi: 0.930 0.750 0.250
Bi: 0.584 0.404 0.250
Bi: 0.416 0.596 0.750
Bi: 0.070 0.250 0.750
Bi: 0.762 0.904 0.750
Lu: 0.640 0.804 0.084
Lu: 0.528 0.696 0.416
Lu: 0.472 0.304 0.584
Lu: 0.360 0.196 0.916
N: 0.667 0.167 0.000
N: 0.000 0.500 0.000
N: 0.333 0.833 0.000
N: 0.834 0.333 0.500
N: 0.500 0.000 0.500
N: 0.166 0.667 0.500
Sc: 0.972 0.141 0.079
Sc: 0.307 0.476 0.079
Sc: 0.191 0.359 0.421
Sc: 0.861 0.024 0.421
Sc: 0.139 0.976 0.579
Sc: 0.809 0.641 0.579
Sc: 0.693 0.524 0.921
Sc: 0.028 0.859 0.921

---

Lu4SnBiN2 after structural relaxation, computed with PBE-GGA.

## Properties
E ... -6.50 eV/atom
Size of the total moment ... 0.01 μB/cell
Crystal system ... hexagonal

Lattice parameters (Å, degrees): 3.473 3.473 14.917 90.00 90.00 120.00
Fractional coordinates of all 8 atoms:
Bi: 0.667 0.333 0.000
Lu: 0.000 0.000 0.167
Lu: 0.667 0.333 0.335
Lu: 0.667 0.333 0.665
Lu: 0.000 0.000 0.833
N: 0.333 0.667 0.250
N: 0.333 0.667 0.750
Sn: 0.000 0.000 0.500

---

Lu4TlBiN2 after structural relaxation, computed with PBE-GGA.

## Properties
E ... -6.22 eV/atom
Size of the total moment ... 0.01 μB/cell
Crystal system ... hexagonal

Lattice parameters (Å, degrees): 3.480 3.480 15.064 90.00 90.00 120.00
Fractional coordinates of all 8 atoms:
Bi: 0.000 0.000 0.000
Lu: 0.333 0.667 0.166
Lu: 0.000 0.000 0.333
Lu: 0.000 0.000 0.667
Lu: 0.333 0.667 0.834
N: 0.667 0.333 0.248
N: 0.667 0.333 0.752
Tl: 0.333 0.667 0.500

---

Lu2Bi3W4N3 after structural relaxation, computed with PBE-GGA.

## Properties
E ... -8.26 eV/atom
Size of the total moment ... 0.01 μB/cell
Crystal system ... monoclinic

Lattice parameters (Å, degrees): 5.760 5.760 15.089 90.87 90.87 60.56
Fractional coordinates of all 24 atoms:
Bi: 0.545 0.795 0.216
Bi: 0.901 0.099 0.250
Bi: 0.205 0.455 0.284
Bi: 0.795 0.545 0.716
Bi: 0.099 0.901 0.750
Bi: 0.455 0.205 0.784
Lu: 0.497 0.332 0.093
Lu: 0.668 0.503 0.407
Lu: 0.332 0.497 0.593
Lu: 0.503 0.668 0.907
N: 0.500 0.000 0.000
N: 0.806 0.336 0.005
N: 0.664 0.194 0.495
N: 0.000 0.500 0.500
N: 0.336 0.806 0.505
N: 0.194 0.664 0.995
W: 0.854 0.699 0.052
W: 0.138 0.002 0.071
W: 0.998 0.862 0.429
W: 0.301 0.146 0.448
W: 0.699 0.854 0.552
W: 0.002 0.138 0.571
W: 0.862 0.998 0.929
W: 0.146 0.301 0.948

---

Y4Lu2Bi3N3 after structural relaxation, computed with PBE-GGA.

## Properties
E ... -7.12 eV/atom
Size of the total moment ... 0.01 μB/cell
Crystal system ... monoclinic

Lattice parameters (Å, degrees): 6.176 6.176 15.573 101.55 101.55 60.01
Fractional coordinates of all 24 atoms:
Bi: 0.584 0.739 0.249
Bi: 0.909 0.091 0.250
Bi: 0.261 0.416 0.251
Bi: 0.739 0.584 0.749
Bi: 0.091 0.909 0.750
Bi: 0.416 0.261 0.751
Lu: 0.527 0.357 0.080
Lu: 0.643 0.473 0.420
Lu: 0.357 0.527 0.580
Lu: 0.473 0.643 0.920
N: 0.500 0.000 0.000
N: 0.818 0.341 0.000
N: 0.182 0.659 0.000
N: 0.341 0.818 0.500
N: 0.000 0.500 0.500
N: 0.659 0.182 0.500
Y: 0.193 0.032 0.085
Y: 0.866 0.695 0.085
Y: 0.305 0.134 0.415
Y: 0.968 0.807 0.415
Y: 0.032 0.193 0.585
Y: 0.695 0.866 0.585
Y: 0.134 0.305 0.915
Y: 0.807 0.968 0.915

---

Lu4Zr2Bi3N3 after structural relaxation, computed with PBE-GGA.

## Properties
E ... -7.09 eV/atom
Size of the total moment ... 0.00 μB/cell
Crystal system ... monoclinic

Lattice parameters (Å, degrees): 6.033 6.033 15.060 101.47 101.47 60.11
Fractional coordinates of all 24 atoms:
Bi: 0.416 0.259 0.250
Bi: 0.090 0.910 0.250
Bi: 0.741 0.584 0.250
Bi: 0.259 0.416 0.750
Bi: 0.910 0.090 0.750
Bi: 0.584 0.741 0.750
Lu: 0.694 0.861 0.083
Lu: 0.027 0.196 0.083
Lu: 0.804 0.973 0.417
Lu: 0.139 0.306 0.417
Lu: 0.861 0.694 0.583
Lu: 0.196 0.027 0.583
Lu: 0.973 0.804 0.917
Lu: 0.306 0.139 0.917
N: 0.670 0.160 0.000
N: 0.000 0.500 0.000
N: 0.330 0.840 0.000
N: 0.160 0.670 0.500
N: 0.500 0.000 0.500
N: 0.840 0.330 0.500
Zr: 0.363 0.527 0.079
Zr: 0.473 0.637 0.421
Zr: 0.527 0.363 0.579
Zr: 0.637 0.473 0.921

---

NaLuBi after structural relaxation, computed with PBE-GGA.

## Properties
E ... -3.52 eV/atom
Size of the total moment ... 0.00 μB/cell
Crystal system ... cubic

Lattice parameters (Å, degrees): 5.102 5.102 5.102 60.00 60.00 60.00
Fractional coordinates of all 3 atoms:
Bi: 0.000 0.000 0.000
Lu: 0.250 0.250 0.250
Na: 0.750 0.750 0.750

---

Lu2NbBi after structural relaxation, computed with PBE-GGA.

## Properties
E ... -5.66 eV/atom
Size of the total moment ... 2.00 μB/cell
Crystal system ... cubic

Lattice parameters (Å, degrees): 5.141 5.141 5.141 60.00 60.00 60.00
Fractional coordinates of all 4 atoms:
Bi: 0.500 0.500 0.500
Lu: 0.000 0.000 0.000
Lu: 0.750 0.750 0.750
Nb: 0.250 0.250 0.250

---

LuNbBi2 after structural relaxation, computed with PBE-GGA.

## Properties
E ... -5.37 eV/atom
Size of the total moment ... 2.01 μB/cell
Crystal system ... cubic

Lattice parameters (Å, degrees): 5.223 5.223 5.223 60.00 60.00 60.00
Fractional coordinates of all 4 atoms:
Bi: 0.000 0.000 0.000
Bi: 0.750 0.750 0.750
Lu: 0.250 0.250 0.250
Nb: 0.500 0.500 0.500

---

LuNbBi after structural relaxation, computed with PBE-GGA.

## Properties
E ... -5.45 eV/atom
Size of the total moment ... 3.54 μB/cell
Crystal system ... cubic

Lattice parameters (Å, degrees): 5.016 5.016 5.016 60.00 60.00 60.00
Fractional coordinates of all 3 atoms:
Bi: 0.250 0.250 0.250
Lu: 0.000 0.000 0.000
Nb: 0.750 0.750 0.750

---

LuNbNiBi after structural relaxation, computed with PBE-GGA.

## Properties
Excess energy over the best structure of this formula in the dataset ... 0.00 eV/f.u.
Size of the total moment ... 1.21 μB/cell
Crystal system ... cubic

Lattice parameters (Å, degrees): 4.846 4.846 4.846 60.00 60.00 60.00
Fractional coordinates of all 4 atoms:
Bi: 0.000 0.000 0.000
Lu: 0.500 0.500 0.500
Nb: 0.250 0.250 0.250
Ni: 0.750 0.750 0.750

---

NdLuBi after structural relaxation, computed with PBE-GGA.

## Properties
E ... -4.71 eV/atom
Size of the total moment ... 0.03 μB/cell
Crystal system ... cubic

Lattice parameters (Å, degrees): 5.202 5.202 5.202 60.00 60.00 60.00
Fractional coordinates of all 3 atoms:
Bi: 0.000 0.000 0.000
Lu: 0.250 0.250 0.250
Nd: 0.750 0.750 0.750

---

LuNiBi2 after structural relaxation, computed with PBE-GGA.

## Properties
Excess energy over the best structure of this formula in the dataset ... 7.01 eV/f.u.
Size of the total moment ... 0.00 μB/cell
Crystal system ... cubic

Lattice parameters (Å, degrees): 4.431 4.431 4.431 60.00 60.00 60.00
Fractional coordinates of all 4 atoms:
Bi: 0.000 0.000 0.000
Bi: 0.250 0.250 0.250
Lu: 0.500 0.500 0.500
Ni: 0.750 0.750 0.750

---

LuNi2Bi after structural relaxation, computed with PBE-GGA.

## Properties
E ... -4.93 eV/atom
Size of the total moment ... 0.04 μB/cell
Crystal system ... cubic

Lattice parameters (Å, degrees): 4.695 4.695 4.695 60.00 60.00 60.00
Fractional coordinates of all 4 atoms:
Bi: 0.500 0.500 0.500
Lu: 0.250 0.250 0.250
Ni: 0.000 0.000 0.000
Ni: 0.750 0.750 0.750

---

LuNiBi2 after structural relaxation, computed with PBE-GGA.

## Properties
Excess energy over the best structure of this formula in the dataset ... 0.00 eV/f.u.
Size of the total moment ... 0.00 μB/cell
Crystal system ... cubic

Lattice parameters (Å, degrees): 5.188 5.188 5.188 60.00 60.00 60.00
Fractional coordinates of all 4 atoms:
Bi: 0.500 0.500 0.500
Bi: 0.750 0.750 0.750
Lu: 0.250 0.250 0.250
Ni: 0.000 0.000 0.000

---

LuNiBiPt after structural relaxation, computed with PBE-GGA.

## Properties
Excess energy over the best structure of this formula in the dataset ... 0.00 eV/f.u.
Size of the total moment ... 0.00 μB/cell
Crystal system ... cubic

Lattice parameters (Å, degrees): 4.788 4.788 4.788 60.00 60.00 60.00
Fractional coordinates of all 4 atoms:
Bi: 0.000 0.000 0.000
Lu: 0.500 0.500 0.500
Ni: 0.750 0.750 0.750
Pt: 0.250 0.250 0.250

---

LuNiBiPt after structural relaxation, computed with PBE-GGA.

## Properties
Excess energy over the best structure of this formula in the dataset ... 0.77 eV/f.u.
Size of the total moment ... 0.02 μB/cell
Crystal system ... cubic

Lattice parameters (Å, degrees): 4.787 4.787 4.787 60.00 60.00 60.00
Fractional coordinates of all 4 atoms:
Bi: 0.000 0.000 0.000
Lu: 0.250 0.250 0.250
Ni: 0.750 0.750 0.750
Pt: 0.500 0.500 0.500

---

Lu2Ni2BiSb after structural relaxation, computed with PBE-GGA.

## Properties
E ... -5.50 eV/atom
Size of the total moment ... 0.00 μB/cell
Crystal system ... monoclinic

Lattice parameters (Å, degrees): 10.966 4.476 10.971 90.00 109.48 90.00
Fractional coordinates of all 24 atoms:
Bi: 0.125 0.000 0.124
Bi: 0.501 0.500 0.250
Bi: 0.249 0.500 0.501
Bi: 0.750 0.500 0.999
Lu: 0.626 0.000 0.125
Lu: 0.998 0.500 0.251
Lu: 0.377 0.000 0.377
Lu: 0.753 0.500 0.503
Lu: 0.123 0.000 0.628
Lu: 0.499 0.500 0.750
Lu: 0.874 0.000 0.871
Lu: 0.250 0.500 0.997
Ni: 0.376 0.000 0.120
Ni: 0.755 0.500 0.256
Ni: 0.120 0.000 0.376
Ni: 0.505 0.500 0.505
Ni: 0.875 0.000 0.625
Ni: 0.249 0.500 0.754
Ni: 0.620 0.000 0.870
Ni: 0.999 0.500 0.993
Sb: 0.875 0.000 0.376
Sb: 0.625 0.000 0.625
Sb: 0.000 0.500 0.750
Sb: 0.375 0.000 0.875

---

LuTaNiBi after structural relaxation, computed with PBE-GGA.

## Properties
Excess energy over the best structure of this formula in the dataset ... 0.00 eV/f.u.
Size of the total moment ... 1.52 μB/cell
Crystal system ... cubic

Lattice parameters (Å, degrees): 4.874 4.874 4.874 60.00 60.00 60.00
Fractional coordinates of all 4 atoms:
Bi: 0.000 0.000 0.000
Lu: 0.500 0.500 0.500
Ni: 0.750 0.750 0.750
Ta: 0.250 0.250 0.250

---

LuTcNiBi after structural relaxation, computed with PBE-GGA.

## Properties
Excess energy over the best structure of this formula in the dataset ... 1.60 eV/f.u.
Size of the total moment ... 2.30 μB/cell
Crystal system ... cubic

Lattice parameters (Å, degrees): 4.796 4.796 4.796 60.00 60.00 60.00
Fractional coordinates of all 4 atoms:
Bi: 0.000 0.000 0.000
Lu: 0.250 0.250 0.250
Ni: 0.750 0.750 0.750
Tc: 0.500 0.500 0.500

---

LuTcNiBi after structural relaxation, computed with PBE-GGA.

## Properties
Excess energy over the best structure of this formula in the dataset ... 0.00 eV/f.u.
Size of the total moment ... 0.29 μB/cell
Crystal system ... cubic

Lattice parameters (Å, degrees): 4.689 4.689 4.689 60.00 60.00 60.00
Fractional coordinates of all 4 atoms:
Bi: 0.000 0.000 0.000
Lu: 0.500 0.500 0.500
Ni: 0.750 0.750 0.750
Tc: 0.250 0.250 0.250